No. 1
## CsReAg3S4 (GGA-PBE)

Data for a geometry-optimized CsReAg3S4 structure.

Lattice parameters (Å, degrees): 6.416 6.416 6.416 90.00 90.00 90.00
Space group P-43m (No. 215)
One atom of each set of equivalent atoms:
Cs 0.000 0.000 0.000 (multiplicity 1)
Re 0.500 0.500 0.500 (multiplicity 1)
Ag 0.000 0.500 0.500 (multiplicity 3)
S 0.295 0.295 0.295 (multiplicity 4)

Values from the calculation:
Energy ... -4.425 eV per atom
Calculated volume ... 29.3 A^3/atom
Size of the total moment ... 1.1 μB per cell

No. 2
## CsReAgSeS2 (GGA-PBE)

Data for a geometry-optimized CsReAgSeS2 structure.

Lattice parameters (Å, degrees): 3.738 16.221 10.070 90.00 90.00 90.00
Space group Cmcm (No. 63)
One atom of each set of equivalent atoms:
Cs 0.000 0.244 0.250 (multiplicity 4)
Re 0.000 0.000 0.000 (multiplicity 4)
Ag 0.000 0.449 0.750 (multiplicity 4)
Se 0.000 0.065 0.750 (multiplicity 4)
S 0.000 0.399 0.522 (multiplicity 8)

Values from the calculation:
Energy ... -4.862 eV per atom
Calculated volume ... 25.4 A^3/atom
Size of the total moment ... 9.9 μB per cell

No. 3
## CsReAgSe3 (GGA-PBE)

Data for a geometry-optimized CsReAgSe3 structure.

Lattice parameters (Å, degrees): 3.890 16.417 10.225 90.00 90.00 90.00
Space group Cmcm (No. 63)
One atom of each set of equivalent atoms:
Cs 0.000 0.243 0.250 (multiplicity 4)
Re 0.000 0.000 0.000 (multiplicity 4)
Ag 0.000 0.455 0.750 (multiplicity 4)
Se 0.000 0.062 0.750 (multiplicity 4)
Se 0.000 0.394 0.521 (multiplicity 8)

Values from the calculation:
Energy ... -4.611 eV per atom
Calculated volume ... 27.2 A^3/atom
Size of the total moment ... 10.2 μB per cell

No. 4
## CsReAg3Se4 (GGA-PBE)

Data for a geometry-optimized CsReAg3Se4 structure.

Lattice parameters (Å, degrees): 6.609 6.609 6.609 90.00 90.00 90.00
Space group P-43m (No. 215)
One atom of each set of equivalent atoms:
Cs 0.000 0.000 0.000 (multiplicity 1)
Re 0.500 0.500 0.500 (multiplicity 1)
Ag 0.000 0.500 0.500 (multiplicity 3)
Se 0.290 0.290 0.290 (multiplicity 4)

Values from the calculation:
Energy ... -4.095 eV per atom
Calculated volume ... 32.1 A^3/atom
Size of the total moment ... 1.1 μB per cell

No. 5
## CsReAgTe2Se (GGA-PBE)

Data for a geometry-optimized CsReAgTe2Se structure.

Lattice parameters (Å, degrees): 4.078 17.171 10.460 90.00 90.00 90.00
Space group Cmcm (No. 63)
One atom of each set of equivalent atoms:
Cs 0.000 0.242 0.250 (multiplicity 4)
Re 0.000 0.000 0.000 (multiplicity 4)
Ag 0.000 0.459 0.750 (multiplicity 4)
Te 0.000 0.390 0.518 (multiplicity 8)
Se 0.000 0.056 0.750 (multiplicity 4)

Values from the calculation:
Energy ... -4.360 eV per atom
Calculated volume ... 30.5 A^3/atom
Size of the total moment ... 10.1 μB per cell

No. 6
## Cs2Ag3S4 (GGA-PBE)

Data for a geometry-optimized Cs2Ag3S4 structure.

Lattice parameters (Å, degrees): 6.709 10.859 14.865 90.00 90.00 90.00
Space group Fmmm (No. 69)
One atom of each set of equivalent atoms:
Cs 0.000 0.000 0.168 (multiplicity 8)
Ag 0.000 0.000 0.500 (multiplicity 4)
Ag 0.250 0.250 0.000 (multiplicity 8)
S 0.000 0.160 0.386 (multiplicity 16)

Values from the calculation:
Energy ... -3.327 eV per atom
Calculated volume ... 30.1 A^3/atom

No. 7
## CsAgS (GGA-PBE)

Data for a geometry-optimized CsAgS structure.

Lattice parameters (Å, degrees): 4.537 4.537 8.383 90.00 90.00 90.00
Space group P4/nmm (No. 129, origin choice 2)
One atom of each set of equivalent atoms:
Cs 0.250 0.250 0.161 (multiplicity 2)
Ag 0.250 0.750 0.500 (multiplicity 2)
S 0.250 0.250 0.683 (multiplicity 2)

Values from the calculation:
Energy ... -3.186 eV per atom
Calculated volume ... 28.8 A^3/atom

No. 8
## Cs2AgS2 (GGA-PBE)

Data for a geometry-optimized Cs2AgS2 structure.

Lattice parameters (Å, degrees): 12.565 3.944 7.099 90.00 104.30 90.00
Space group C2/m (No. 12)
One atom of each set of equivalent atoms:
Cs 0.162 0.000 0.208 (multiplicity 4)
Ag 0.000 0.500 0.500 (multiplicity 2)
S 0.105 0.000 0.691 (multiplicity 4)

Values from the calculation:
Energy ... -3.197 eV per atom
Calculated volume ... 34.1 A^3/atom

No. 9
## CsAg7S4 (GGA-PBE)

Data for a geometry-optimized CsAg7S4 structure.

Lattice parameters (Å, degrees): 11.311 11.311 8.551 90.00 90.00 90.00
Space group P4/n (No. 85, origin choice 2)
One atom of each set of equivalent atoms:
Cs 0.250 0.250 0.121 (multiplicity 2)
Cs 0.250 0.250 0.623 (multiplicity 2)
Ag 0.000 0.000 0.000 (multiplicity 4)
Ag 0.020 0.961 0.661 (multiplicity 8)
Ag 0.108 0.788 0.387 (multiplicity 8)
Ag 0.114 0.769 0.879 (multiplicity 8)
S 0.006 0.694 0.628 (multiplicity 8)
S 0.011 0.689 0.134 (multiplicity 8)

Values from the calculation:
Energy ... -3.327 eV per atom
Calculated volume ... 22.8 A^3/atom

No. 10
## Cs2Ag3Sb3S7 (GGA-PBE)

Data for a geometry-optimized Cs2Ag3Sb3S7 structure.

Lattice parameters (Å, degrees): 26.304 9.453 7.000 90.00 90.00 90.00
Space group Cmc2_1 (No. 36)
One atom of each set of equivalent atoms:
Cs 0.206 0.181 0.000 (multiplicity 8)
Ag 0.000 0.172 0.664 (multiplicity 4)
Ag 0.086 0.014 0.439 (multiplicity 8)
Sb 0.000 0.329 0.119 (multiplicity 4)
Sb 0.122 0.395 0.508 (multiplicity 8)
S 0.000 0.114 0.320 (multiplicity 4)
S 0.071 0.253 0.911 (multiplicity 8)
S 0.162 0.163 0.501 (multiplicity 8)
S 0.180 0.496 0.249 (multiplicity 8)

Values from the calculation:
Energy ... -3.895 eV per atom
Calculated volume ... 29.0 A^3/atom

No. 11
## Cs3Ag2Sb3S8 (GGA-PBE)

Data for a geometry-optimized Cs3Ag2Sb3S8 structure.

Lattice parameters (Å, degrees): 10.776 7.391 12.953 90.00 103.18 90.00
Space group P2_1/m (No. 11)
One atom of each set of equivalent atoms:
Cs 0.043 0.250 0.156 (multiplicity 2)
Cs 0.077 0.750 0.426 (multiplicity 2)
Cs 0.353 0.250 0.947 (multiplicity 2)
Ag 0.372 0.028 0.398 (multiplicity 4)
Sb 0.272 0.750 0.127 (multiplicity 2)
Sb 0.328 0.250 0.614 (multiplicity 2)
Sb 0.372 0.750 0.711 (multiplicity 2)
S 0.057 0.750 0.138 (multiplicity 2)
S 0.194 0.250 0.435 (multiplicity 2)
S 0.208 0.002 0.686 (multiplicity 4)
S 0.297 0.750 0.951 (multiplicity 2)
S 0.379 0.017 0.206 (multiplicity 4)
S 0.410 0.750 0.526 (multiplicity 2)

Values from the calculation:
Energy ... -3.922 eV per atom
Calculated volume ... 31.4 A^3/atom

No. 12
## CsAg2SbS3 (GGA-PBE)

Data for a geometry-optimized CsAg2SbS3 structure.

Lattice parameters (Å, degrees): 6.831 10.141 11.243 89.86 87.92 87.71
Space group P-1 (No. 2)
One atom of each set of equivalent atoms:
Cs 0.194 0.069 0.133 (multiplicity 2)
Cs 0.304 0.923 0.628 (multiplicity 2)
Ag 0.004 0.746 0.357 (multiplicity 2)
Ag 0.077 0.648 0.047 (multiplicity 2)
Ag 0.417 0.351 0.552 (multiplicity 2)
Ag 0.488 0.605 0.838 (multiplicity 2)
Sb 0.031 0.447 0.352 (multiplicity 2)
Sb 0.467 0.309 0.844 (multiplicity 2)
S 0.134 0.418 0.141 (multiplicity 2)
S 0.156 0.230 0.432 (multiplicity 2)
S 0.162 0.187 0.836 (multiplicity 2)
S 0.329 0.581 0.640 (multiplicity 2)
S 0.363 0.809 0.326 (multiplicity 2)
S 0.368 0.789 0.980 (multiplicity 2)

Values from the calculation:
Energy ... -3.751 eV per atom
Calculated volume ... 27.8 A^3/atom

No. 13
## Cs2Ag2SeS (GGA-PBE)

Data for a geometry-optimized Cs2Ag2SeS structure.

Lattice parameters (Å, degrees): 7.006 6.046 12.165 90.00 90.19 90.00
Space group P2_1/m (No. 11)
One atom of each set of equivalent atoms:
Cs 0.007 0.250 0.162 (multiplicity 2)
Cs 0.471 0.250 0.648 (multiplicity 2)
Ag 0.000 0.000 0.500 (multiplicity 2)
Ag 0.500 0.000 0.000 (multiplicity 2)
Se 0.269 0.750 0.095 (multiplicity 2)
S 0.223 0.750 0.581 (multiplicity 2)

Values from the calculation:
Energy ... -3.232 eV per atom
Calculated volume ... 42.9 A^3/atom

No. 14
## CsAg5SeS2 (GGA-PBE)

Data for a geometry-optimized CsAg5SeS2 structure.

Lattice parameters (Å, degrees): 6.003 6.003 23.082 90.00 90.00 90.00
Space group I4/mcm (No. 140)
One atom of each set of equivalent atoms:
Cs 0.000 0.500 0.000 (multiplicity 4)
Ag 0.000 0.000 0.250 (multiplicity 4)
Ag 0.202 0.298 0.154 (multiplicity 16)
Se 0.000 0.500 0.250 (multiplicity 4)
S 0.000 0.000 0.093 (multiplicity 8)

Values from the calculation:
Energy ... -3.270 eV per atom
Calculated volume ... 23.1 A^3/atom

No. 15
## CsSiAgSe2S (GGA-PBE)

Data for a geometry-optimized CsSiAgSe2S structure.

Lattice parameters (Å, degrees): 3.709 16.273 10.544 90.00 90.00 90.00
Space group Cmcm (No. 63)
One atom of each set of equivalent atoms:
Cs 0.000 0.235 0.250 (multiplicity 4)
Si 0.000 0.500 0.000 (multiplicity 4)
Ag 0.000 0.065 0.750 (multiplicity 4)
Se 0.000 0.106 0.517 (multiplicity 8)
S 0.000 0.457 0.750 (multiplicity 4)

Values from the calculation:
Energy ... -3.689 eV per atom
Calculated volume ... 26.5 A^3/atom

No. 16
## CsAgSnSe2S (GGA-PBE)

Data for a geometry-optimized CsAgSnSe2S structure.

Lattice parameters (Å, degrees): 4.056 15.865 10.969 90.00 90.00 90.00
Space group Cmcm (No. 63)
One atom of each set of equivalent atoms:
Cs 0.000 0.236 0.250 (multiplicity 4)
Ag 0.000 0.053 0.750 (multiplicity 4)
Sn 0.000 0.500 0.000 (multiplicity 4)
Se 0.000 0.118 0.530 (multiplicity 8)
S 0.000 0.453 0.750 (multiplicity 4)

Values from the calculation:
Energy ... -3.617 eV per atom
Calculated volume ... 29.4 A^3/atom

No. 17
## CsTaAgSe2S (GGA-PBE)

Data for a geometry-optimized CsTaAgSe2S structure.

Lattice parameters (Å, degrees): 3.843 16.345 10.087 90.00 90.00 90.00
Space group Cmcm (No. 63)
One atom of each set of equivalent atoms:
Cs 0.000 0.248 0.250 (multiplicity 4)
Ta 0.000 0.500 0.000 (multiplicity 4)
Ag 0.000 0.043 0.750 (multiplicity 4)
Se 0.000 0.113 0.525 (multiplicity 8)
S 0.000 0.445 0.750 (multiplicity 4)

Values from the calculation:
Energy ... -5.071 eV per atom
Calculated volume ... 26.4 A^3/atom
Size of the total moment ... 2.2 μB per cell